Compound: HfFe2O4
Source: Alexandria
Functional: PBE with a Hubbard U
Structure: optimized geometry

abc: 5.5537 5.5139 10.9591
angles: 90.00 90.00 90.00
Last column: nearest neighbours and their distance in Å.
Sites, in units of the cell vectors:
Hf 0.0000 0.0000 0.5000  6 O 2.09-2.12
Hf 0.5000 0.5000 0.5000  6 O 2.09-2.12
Hf 0.0000 0.5000 0.0000  6 O 2.09-2.12
Hf 0.5000 0.0000 0.0000  6 O 2.09-2.12
Fe 0.9679 0.9485 0.8403  4 O 2.07-2.12
Fe 0.4679 0.5515 0.1597  4 O 2.07-2.12
Fe 0.0321 0.4485 0.6597  4 O 2.07-2.12
Fe 0.5321 0.0515 0.3403  4 O 2.07-2.12
Fe 0.0321 0.0515 0.1597  4 O 2.07-2.12
Fe 0.5321 0.4485 0.8403  4 O 2.07-2.12
Fe 0.9679 0.5515 0.3403  4 O 2.07-2.12
Fe 0.4679 0.9485 0.6597  4 O 2.07-2.12
O 0.8304 0.6718 0.5436  1 Fe 2.10, 2 Hf 2.10-2.12
O 0.3304 0.8282 0.4564  1 Fe 2.10, 2 Hf 2.10-2.12
O 0.1696 0.1718 0.9564  1 Fe 2.10, 2 Hf 2.10-2.12
O 0.6696 0.3282 0.0436  1 Fe 2.10, 2 Hf 2.10-2.12
O 0.1696 0.3282 0.4564  1 Fe 2.10, 2 Hf 2.10-2.12
O 0.6696 0.1718 0.5436  1 Fe 2.10, 2 Hf 2.10-2.12
O 0.8304 0.8282 0.0436  1 Fe 2.10, 2 Hf 2.10-2.12
O 0.3304 0.6718 0.9564  1 Fe 2.10, 2 Hf 2.10-2.12
O 0.1115 0.0742 0.6779  3 Fe 2.07-2.12, 1 Hf 2.09
O 0.6115 0.4258 0.3221  3 Fe 2.07-2.12, 1 Hf 2.09
O 0.8885 0.5742 0.8221  3 Fe 2.07-2.12, 1 Hf 2.09
O 0.3885 0.9258 0.1779  3 Fe 2.07-2.12, 1 Hf 2.09
O 0.8885 0.9258 0.3221  3 Fe 2.07-2.12, 1 Hf 2.09
O 0.3885 0.5742 0.6779  3 Fe 2.07-2.12, 1 Hf 2.09
O 0.1115 0.4258 0.1779  3 Fe 2.07-2.12, 1 Hf 2.09
O 0.6115 0.0742 0.8221  3 Fe 2.07-2.12, 1 Hf 2.09

Calculated values
VASP energy in eV per atom: -8.13
Total moment in μB/atom: 1.14
Space-group type: Pbca, No. 61